First-principles (PBE) data for a relaxed structure of BaCrIr2, as listed in the Alexandria database.

```
4
Lattice="-1.729 -0.625 -4.012 2.143 -2.465 -2.968 -2.609 -5.724 -0.412" Properties=species:S:1:pos:R:3 pbc="T T T"
Ir -2.162 -7.492 -5.186
Ir -2.496 -5.531 -0.492
Ba -1.135 -4.470 -3.669
Cr -0.109 -1.453 -2.155
```

## Properties
theoretical density = 9.80 g cm⁻³
calculated volume = 97.3 Å³ per cell
ΔE_f = 0.084 eV/atom
energy = -7.23 eV/atom